DFT (PBE-GGA) results for crystalline HgSe at its relaxed geometry.

a b c (Å): 3.5853 3.5853 10.7170
angles (deg): 90.00 90.00 90.00
With the nearest neighbours (Å) after each atom.
Atoms (fractional coordinates):
Se 0.2500 0.2500 0.4648  4 Se 2.64
Se 0.7500 0.7500 0.5352  4 Se 2.64
Hg 0.7500 0.7500 0.8852  8 Hg 3.53-3.59, 1 Se 3.75
Hg 0.2500 0.2500 0.1148  8 Hg 3.53-3.59, 1 Se 3.75

## Properties
M_tot, μB/f.u.: 0.00
Space-group type: P4/nmm, No. 129
Energy relative to the elements, uncorrected, eV per atom: 0.11
Fermi-level density of states, states/eV/f.u.: 0.54